# CdH6CI3N3 | OQMD | PBE-GGA | optimized geometry
# volume	18.42	Å³ per atom
# E_tot	-4.68	eV per atom
data_CdH6CI3N3
_chemical_formula_sum 'Cd4 H24 C4 I12 N12'
_cell_length_a 8.1930
_cell_length_b 16.1994
_cell_length_c 8.1247
_cell_angle_alpha 90.00
_cell_angle_beta 106.93
_cell_angle_gamma 90.00
_symmetry_space_group_name_H-M 'C 1 c 1'
_symmetry_Int_Tables_number 9
_symmetry_space_group_name_Hall 'C -2yc'
loop_
_atom_site_label
_atom_site_fract_x
_atom_site_fract_y
_atom_site_fract_z
_atom_site_occupancy
Cd1 0.0000 0.0474 0.0000 1
H1 0.0284 0.4125 0.5879 1
H2 0.0283 0.4181 0.3028 1
H3 0.3981 0.2973 0.9950 1
H4 0.4083 0.2919 0.7836 1
H5 0.4737 0.1797 0.1731 1
H6 0.4801 0.1704 0.6733 1
C1 0.4629 0.1837 0.9176 1
I1 0.2081 0.0486 0.3527 1
I2 0.2139 0.4532 0.9941 1
I3 0.4514 0.2859 0.4241 1
N1 0.4222 0.2637 0.8987 1
N2 0.4793 0.1403 0.7836 1
N3 0.4841 0.1467 0.0696 1


# CdH6C10I2N6 | OQMD | PBE-GGA | optimized geometry
# volume	14.12	Å³ per atom
# E_tot	-6.56	eV per atom
data_CdH6C10I2N6
_chemical_formula_sum 'Cd2 H12 C20 I4 N12'
_cell_length_a 23.6096
_cell_length_b 4.0168
_cell_length_c 7.5633
_cell_angle_alpha 90.00
_cell_angle_beta 100.23
_cell_angle_gamma 90.00
_symmetry_space_group_name_H-M 'C 1 2/m 1'
_symmetry_Int_Tables_number 12
_symmetry_space_group_name_Hall '-C 2y'
loop_
_atom_site_label
_atom_site_fract_x
_atom_site_fract_y
_atom_site_fract_z
_atom_site_occupancy
Cd1 0.0000 0.0000 0.0000 1
H1 0.0517 0.0000 0.4269 1
H2 0.1432 0.0000 0.0054 1
H3 0.1454 0.0000 0.6507 1
C1 0.0933 0.0000 0.3833 1
C2 0.1436 0.0000 0.1498 1
C3 0.1451 0.0000 0.5062 1
C4 0.1950 0.0000 0.2751 1
C5 0.2489 0.0000 0.2124 1
I1 0.0442 0.5000 0.7774 1
N1 0.0929 0.0000 0.2062 1
N2 0.1960 0.0000 0.4536 1
N3 0.2088 0.5000 0.8474 1


# Cd3H6C2I6N2O2 | OQMD | PBE-GGA | optimized geometry
# volume	21.94	Å³ per atom
# E_tot	-4.24	eV per atom
data_Cd3H6C2I6N2O2
_chemical_formula_sum 'Cd6 H12 C4 I12 N4 O4'
_cell_length_a 14.1414
_cell_length_b 15.5227
_cell_length_c 4.1986
_cell_angle_alpha 90.00
_cell_angle_beta 90.00
_cell_angle_gamma 90.00
_symmetry_space_group_name_H-M 'P n n 2'
_symmetry_Int_Tables_number 34
_symmetry_space_group_name_Hall 'P 2 -2n'
loop_
_atom_site_label
_atom_site_fract_x
_atom_site_fract_y
_atom_site_fract_z
_atom_site_occupancy
Cd1 0.0000 0.0000 0.0000 1
Cd2 0.2368 0.1118 0.4868 1
H1 0.0517 0.6982 0.9162 1
H2 0.0779 0.4544 0.9475 1
H3 0.1066 0.3434 0.9149 1
C1 0.0345 0.6290 0.9377 1
I1 0.0227 0.1360 0.4967 1
I2 0.2135 0.9732 0.9878 1
I3 0.2356 0.7407 0.4832 1
N1 0.0565 0.3908 0.9303 1
O1 0.0995 0.5737 0.9647 1